Below is crystalline YTl3P2O8 at its relaxed geometry, with properties calculated at the GGA-PBE level.

ΔE_f (raw): -2.14 eV/atom

a = 5.7177 Å, b = 5.7177 Å, c = 8.3521 Å
α = 90.00°, β = 90.00°, γ = 120.00°
Space group P-3m1 (No. 164)
Unique sites:
Y 0.0000 0.0000 0.0000 (multiplicity 1)
Tl 0.0000 0.0000 0.5000 (multiplicity 1)
Tl 0.3333 0.6667 0.2765 (multiplicity 2)
P 0.3333 0.6667 0.7773 (multiplicity 2)
O 0.1848 0.3696 0.8405 (multiplicity 6)
O 0.3333 0.6667 0.5930 (multiplicity 2)

Below is crystalline YTlP2O at its relaxed geometry, with properties calculated at the GGA-PBE level.

ΔE_f (raw): -0.24 eV/atom
E above lowest polymorph: 0.000 eV per atom

a = 5.5290 Å, b = 5.5290 Å, c = 4.2784 Å
α = 90.00°, β = 90.00°, γ = 90.00°
Space group P4/mmm (No. 123)
Unique sites:
Y 0.0000 0.0000 0.0000 (multiplicity 1)
Tl 0.5000 0.5000 0.5000 (multiplicity 1)
P 0.0000 0.5000 0.0000 (multiplicity 2)
O 0.0000 0.0000 0.5000 (multiplicity 1)

Below is crystalline Y2TlPO at its relaxed geometry, with properties calculated at the GGA-PBE level.

ΔE_f (raw): 0.70 eV/atom
E above lowest polymorph: 0.727 eV per atom

a = 5.7160 Å, b = 5.7160 Å, c = 4.7755 Å
α = 90.00°, β = 90.00°, γ = 90.00°
Space group P4/mmm (No. 123)
Unique sites:
Y 0.0000 0.5000 0.0000 (multiplicity 2)
Tl 0.0000 0.0000 0.0000 (multiplicity 1)
P 0.0000 0.0000 0.5000 (multiplicity 1)
O 0.5000 0.5000 0.5000 (multiplicity 1)

Below is crystalline TlZnP3O9 at its relaxed geometry, with properties calculated at the GGA-PBE level.

ΔE_f (raw): -1.96 eV/atom

a = 5.2426 Å, b = 12.1356 Å, c = 13.2632 Å
α = 90.00°, β = 90.00°, γ = 90.00°
Space group Pbcm (No. 57)
Unique sites:
Tl 0.0279 0.1201 0.2500 (multiplicity 4)
Zn 0.0000 0.0000 0.0000 (multiplicity 4)
P 0.2470 0.7500 0.0000 (multiplicity 4)
P 0.4973 0.0867 0.6356 (multiplicity 8)
O 0.1012 0.6568 0.0472 (multiplicity 8)
O 0.2180 0.0617 0.6257 (multiplicity 8)
O 0.3121 0.9996 0.1038 (multiplicity 8)
O 0.4411 0.6245 0.7500 (multiplicity 4)
O 0.4451 0.7041 0.5828 (multiplicity 8)

Question: Which formula does entry 1 have?
Answer: YTl3P2O8

Question: What is the formula in the first record?
Answer: YTl3P2O8

Question: Which formula does entry 1 have?
Answer: YTl3P2O8